Record 1
Density functional theory data (GGA-PBE) for EuDyO after structural relaxation.

Unit cell a=3.598 b=3.598 c=6.054 alpha=90.00 beta=90.00 gamma=120.00
Sites, in units of the cell vectors:
Eu (0.000, 0.000, 0.000)
Dy (0.667, 0.333, 0.535)
O (0.333, 0.667, 0.724)

Calculated values
SG: P3m1, No. 156
ΔE_f (raw): -1.72 eV per atom

---

Record 2
Density functional theory data (GGA-PBE) for LiHfPd2Pt after structural relaxation.

Unit cell a=5.085 b=5.085 c=4.753 alpha=90.00 beta=90.00 gamma=90.00
Sites, in units of the cell vectors:
Li (0.000, 0.000, 0.000)
Hf (0.500, 0.500, 0.000)
Pd (0.000, 0.500, 0.500)
Pd (0.500, 0.000, 0.500)
Pt (0.500, 0.500, 0.500)

Calculated values
SG: P4/mmm, No. 123
formation energy from the elements: 448 meV/atom

---

Record 3
Density functional theory data (GGA-PBE) for CoB after structural relaxation.

Unit cell a=5.156 b=3.064 c=3.923 alpha=90.00 beta=90.00 gamma=90.00
Sites, in units of the cell vectors:
Co (0.176, 0.250, 0.128)
Co (0.324, 0.750, 0.628)
Co (0.676, 0.250, 0.372)
Co (0.824, 0.750, 0.872)
B (0.032, 0.250, 0.624)
B (0.468, 0.750, 0.124)
B (0.532, 0.250, 0.876)
B (0.968, 0.750, 0.376)

Calculated values
SG: Pnma, No. 62
formation energy from the elements: -403 meV/atom

---

| no. | volume (Å³/atom) |
| --- | --- |
| 1 | 22.6 |
| 2 | 24.6 |
| 3 | 7.7 |